Below is crystalline CdCoSi2 at its relaxed geometry, with properties calculated at the GGA-PBE level.

abc: 6.621 6.621 6.621
angles: 156.50 146.78 41.09
Fractional positions:
1 Cd 0.562 0.562 0.000
2 Co 0.761 0.261 0.500
3 Si 0.917 0.917 0.000
4 Si 0.260 0.760 0.500

Its volume is 63.3 Å³ per cell. Its total magnetic moment is 0.000 μB per atom. The symmetry is No. 44.


Below is crystalline CdCoSi2 at its relaxed geometry, with properties calculated at the GGA-PBE level.

abc: 4.217 4.217 6.318
angles: 72.52 72.52 38.52
Fractional positions:
1 Cd 0.579 0.579 0.493
2 Co 0.224 0.224 0.093
3 Si 0.758 0.758 0.796
4 Si 0.938 0.938 0.119

Its volume is 66.4 Å³ per cell. Its total magnetic moment is 0.000 μB per atom. The symmetry is No. 8.


| no. | formation energy without anion corrections (meV per atom) |
| --- | --- |
| 1 | -6 |
| 2 | -4 |